Compound: LiMn2TeO
Source: Alexandria
Functional: PBE+U
Structure: relaxed

```
LiMn2TeO
1.0
-4.3165 0.0307 0.4530
-0.2556 -3.7434 -2.1818
0.3920 -2.2941 3.8902
O Li Mn Te
1 1 2 1
Cartesian
0.0000 0.0000 0.0000 O
0.1960 -1.1471 1.9451 Li
-2.1582 0.0153 0.2265 Mn
-0.1278 -1.8717 -1.0909 Mn
-2.0901 -3.0034 1.0807 Te
```

Calculated values
Energy ... -0.2112 hartree per atom
Space-group type ... P4/mmm